[1]
Density functional theory data (GGA-PBE) for crystalline YPaHgGe at its relaxed geometry.

Calculated values
For the formation energy, the calculation gives -0.2261 eV/atom. Its magnetization is 6.0 μB per cell. Its density of states at the Fermi level is 2.16 states/eV/atom.

The structure in CIF format:
```
data_YPaHgGe
_symmetry_space_group_name_H-M 'F -4 3 m'
_symmetry_Int_Tables_number 216
_symmetry_space_group_name_Hall 'F -4 2 3'
_cell_length_a 7.3081
_cell_length_b 7.3081
_cell_length_c 7.3081
_cell_angle_alpha 90.00
_cell_angle_beta 90.00
_cell_angle_gamma 90.00
loop_
_atom_site_label
_atom_site_type_symbol
_atom_site_fract_x
_atom_site_fract_y
_atom_site_fract_z
Y1 Y 0.0000 0.0000 0.0000
Pa1 Pa 0.0000 0.0000 0.5000
Hg1 Hg 0.2500 0.2500 0.2500
Ge1 Ge 0.2500 0.2500 0.7500
```

***

[2]
Density functional theory data (GGA-PBE) for crystalline Hg3GePb12 at its relaxed geometry.

Calculated values
For the formation energy, the calculation gives 0.0441 eV/atom. Its magnetization is 0.0 μB per cell. Its density of states at the Fermi level is 0.48 states/eV/atom.

The structure in CIF format:
```
data_Hg3GePb12
_symmetry_space_group_name_H-M 'P 4/m m m'
_symmetry_Int_Tables_number 123
_symmetry_space_group_name_Hall '-P 4 2'
_cell_length_a 4.8115
_cell_length_b 4.8115
_cell_length_c 20.5400
_cell_angle_alpha 90.00
_cell_angle_beta 90.00
_cell_angle_gamma 90.00
loop_
_atom_site_label
_atom_site_type_symbol
_atom_site_fract_x
_atom_site_fract_y
_atom_site_fract_z
Hg1 Hg 0.0000 0.0000 0.0000
Hg2 Hg 0.0000 0.0000 0.2500
Ge1 Ge 0.0000 0.0000 0.5000
Pb1 Pb 0.0000 0.5000 0.1251
Pb2 Pb 0.0000 0.5000 0.3787
Pb3 Pb 0.5000 0.5000 0.0000
Pb4 Pb 0.5000 0.5000 0.2509
Pb5 Pb 0.5000 0.5000 0.5000
```

***

[3]
Density functional theory data (GGA-PBE) for crystalline HgGePb2 at its relaxed geometry.

Calculated values
For the formation energy, the calculation gives 0.1468 eV/atom. For the energy above the lowest structure with this stoichiometry, the calculation gives 40 meV/atom. Its magnetization is 0.0 μB per cell. Its density of states at the Fermi level is 0.34 states/eV/atom.

The structure in CIF format:
```
data_HgGePb2
_symmetry_space_group_name_H-M 'P 4/m m m'
_symmetry_Int_Tables_number 123
_symmetry_space_group_name_Hall '-P 4 2'
_cell_length_a 4.9050
_cell_length_b 4.9050
_cell_length_c 4.4846
_cell_angle_alpha 90.00
_cell_angle_beta 90.00
_cell_angle_gamma 90.00
loop_
_atom_site_label
_atom_site_type_symbol
_atom_site_fract_x
_atom_site_fract_y
_atom_site_fract_z
Hg1 Hg 0.0000 0.0000 0.0000
Ge1 Ge 0.5000 0.5000 0.0000
Pb1 Pb 0.0000 0.5000 0.5000
```

***

[4]
Density functional theory data (GGA-PBE) for crystalline Hg12Ge5Pb3 at its relaxed geometry.

Calculated values
For the formation energy, the calculation gives 0.2367 eV/atom. Its magnetization is 0.0 μB per cell. Its density of states at the Fermi level is 0.59 states/eV/atom.

The structure in CIF format:
```
data_Hg12Ge5Pb3
_symmetry_space_group_name_H-M 'I a -3 d'
_symmetry_Int_Tables_number 230
_symmetry_space_group_name_Hall '-I 4bd 2c 3'
_cell_length_a 16.7881
_cell_length_b 16.7881
_cell_length_c 16.7881
_cell_angle_alpha 90.00
_cell_angle_beta 90.00
_cell_angle_gamma 90.00
loop_
_atom_site_label
_atom_site_type_symbol
_atom_site_fract_x
_atom_site_fract_y
_atom_site_fract_z
Hg1 Hg 0.0292 0.0701 0.6468
Ge1 Ge 0.0000 0.0000 0.0000
Ge2 Ge 0.0000 0.2500 0.3750
Pb1 Pb 0.0000 0.2500 0.1250
```

***

[5]
Density functional theory data (GGA-PBE) for crystalline HgGePb2 at its relaxed geometry.

Calculated values
For the formation energy, the calculation gives 0.2792 eV/atom. For the energy above the lowest structure with this stoichiometry, the calculation gives 172 meV/atom. Its magnetization is 0.0 μB per cell. Its density of states at the Fermi level is 0.39 states/eV/atom.

The structure in CIF format:
```
data_HgGePb2
_symmetry_space_group_name_H-M 'I -4 2 d'
_symmetry_Int_Tables_number 122
_symmetry_space_group_name_Hall 'I -4 2bw'
_cell_length_a 6.9306
_cell_length_b 6.9306
_cell_length_c 12.1759
_cell_angle_alpha 90.00
_cell_angle_beta 90.00
_cell_angle_gamma 90.00
loop_
_atom_site_label
_atom_site_type_symbol
_atom_site_fract_x
_atom_site_fract_y
_atom_site_fract_z
Hg1 Hg 0.0000 0.0000 0.0000
Ge1 Ge 0.0000 0.0000 0.5000
Pb1 Pb 0.2259 0.2500 0.6250
```

***

[6]
Density functional theory data (GGA-PBE) for crystalline HgGePb2 at its relaxed geometry.

Calculated values
For the formation energy, the calculation gives 0.1449 eV/atom. For the energy above the lowest structure with this stoichiometry, the calculation gives 38 meV/atom. Its magnetization is 0.0 μB per cell. Its density of states at the Fermi level is 0.46 states/eV/atom.

The structure in CIF format:
```
data_HgGePb2
_symmetry_space_group_name_H-M 'R 3 m'
_symmetry_Int_Tables_number 160
_symmetry_space_group_name_Hall 'R 3 -2"'
_cell_length_a 4.5324
_cell_length_b 4.5324
_cell_length_c 20.4677
_cell_angle_alpha 90.00
_cell_angle_beta 90.00
_cell_angle_gamma 120.00
loop_
_atom_site_label
_atom_site_type_symbol
_atom_site_fract_x
_atom_site_fract_y
_atom_site_fract_z
Hg1 Hg 0.0000 0.0000 0.0000
Ge1 Ge 0.0000 0.0000 0.1667
Pb1 Pb 0.0000 0.0000 0.5701
Pb2 Pb 0.0000 0.0000 0.7639
```

***

[7]
Density functional theory data (GGA-PBE) for crystalline HgGe2Pb2 at its relaxed geometry.

Calculated values
For the formation energy, the calculation gives 0.2412 eV/atom. For the energy above the lowest structure with this stoichiometry, the calculation gives 97 meV/atom. Its magnetization is 0.0 μB per cell. Its density of states at the Fermi level is 0.47 states/eV/atom.

The structure in CIF format:
```
data_HgGe2Pb2
_symmetry_space_group_name_H-M 'P 4/m b m'
_symmetry_Int_Tables_number 127
_symmetry_space_group_name_Hall '-P 4 2ab'
_cell_length_a 8.9796
_cell_length_b 8.9796
_cell_length_c 3.3902
_cell_angle_alpha 90.00
_cell_angle_beta 90.00
_cell_angle_gamma 90.00
loop_
_atom_site_label
_atom_site_type_symbol
_atom_site_fract_x
_atom_site_fract_y
_atom_site_fract_z
Hg1 Hg 0.0000 0.0000 0.0000
Ge1 Ge 0.1374 0.3626 0.5000
Pb1 Pb 0.1534 0.6534 0.0000
```

***

[8]
Density functional theory data (GGA-PBE) for crystalline HgGePb2 at its relaxed geometry.

Calculated values
For the formation energy, the calculation gives 0.1380 eV/atom. For the energy above the lowest structure with this stoichiometry, the calculation gives 31 meV/atom. Its magnetization is 0.0 μB per cell. Its density of states at the Fermi level is 0.51 states/eV/atom.

The structure in CIF format:
```
data_HgGePb2
_symmetry_space_group_name_H-M 'F m -3 m'
_symmetry_Int_Tables_number 225
_symmetry_space_group_name_Hall '-F 4 2 3'
_cell_length_a 7.5563
_cell_length_b 7.5563
_cell_length_c 7.5563
_cell_angle_alpha 90.00
_cell_angle_beta 90.00
_cell_angle_gamma 90.00
loop_
_atom_site_label
_atom_site_type_symbol
_atom_site_fract_x
_atom_site_fract_y
_atom_site_fract_z
Hg1 Hg 0.0000 0.0000 0.0000
Ge1 Ge 0.0000 0.0000 0.5000
Pb1 Pb 0.2500 0.2500 0.2500
```

***

Question: Look up the magnetization of the third one.
Answer: 0.0 μB per cell

***

Question: magnetization of number 2 (Hg3GePb12)?
Answer: 0.0 μB per cell